1.
# Er4GeSb2S | the Alexandria database | PBE-GGA | relaxed
data_Er4GeSb2S
_symmetry_space_group_name_H-M 'P 1 2/m 1'
_symmetry_Int_Tables_number 10
_symmetry_space_group_name_Hall '-P 2y'
_cell_length_a 7.212
_cell_length_b 4.164
_cell_length_c 7.300
_cell_angle_alpha 90.00
_cell_angle_beta 109.18
_cell_angle_gamma 90.00
loop_
_atom_site_label
_atom_site_type_symbol
_atom_site_fract_x
_atom_site_fract_y
_atom_site_fract_z
_atom_site_occupancy
Er1 Er 0.243 0.000 0.230 1
Er2 Er 0.253 0.500 0.769 1
Ge1 Ge 0.000 0.500 0.000 1
Sb1 Sb 0.000 0.000 0.500 1
Sb2 Sb 0.500 0.500 0.500 1
S1 S 0.500 0.000 0.000 1
# * uncorrected formation energy: -1.24 eV/atom
# * crystal system: monoclinic
# * density of states at the Fermi level: 1.46 states/eV/cell

***

2.
# ErScGeS | the Alexandria database | PBE-GGA | relaxed
data_ErScGeS
_symmetry_space_group_name_H-M 'R 3 m'
_symmetry_Int_Tables_number 160
_symmetry_space_group_name_Hall 'R 3 -2"'
_cell_length_a 3.8909
_cell_length_b 3.8909
_cell_length_c 19.3545
_cell_angle_alpha 90.00
_cell_angle_beta 90.00
_cell_angle_gamma 120.00
loop_
_atom_site_label
_atom_site_type_symbol
_atom_site_fract_x
_atom_site_fract_y
_atom_site_fract_z
_atom_site_occupancy
Er1 Er 0.0000 0.0000 0.0000 1
Sc1 Sc 0.0000 0.0000 0.5005 1
Ge1 Ge 0.0000 0.0000 0.7549 1
S1 S 0.0000 0.0000 0.2472 1
# * uncorrected formation energy: -1.37 eV/atom
# * crystal system: trigonal
# * density of states at the Fermi level: 4.30 states/eV/cell

***

3.
# Er8GeSe3S4 | the Alexandria database | PBE-GGA | relaxed
data_Er8GeSe3S4
_symmetry_space_group_name_H-M 'R -3 m'
_symmetry_Int_Tables_number 166
_symmetry_space_group_name_Hall '-R 3 2"'
_cell_length_a 7.9211
_cell_length_b 7.9211
_cell_length_c 19.5015
_cell_angle_alpha 90.00
_cell_angle_beta 90.00
_cell_angle_gamma 120.00
loop_
_atom_site_label
_atom_site_type_symbol
_atom_site_fract_x
_atom_site_fract_y
_atom_site_fract_z
_atom_site_occupancy
Er1 Er 0.0000 0.0000 0.2414 1
Er2 Er 0.0105 0.5053 0.7547 1
Ge1 Ge 0.0000 0.0000 0.0000 1
Se1 Se 0.0000 0.5000 0.0000 1
S1 S 0.0000 0.0000 0.5000 1
S2 S 0.0000 0.5000 0.5000 1
# * uncorrected formation energy: -1.76 eV/atom
# * crystal system: trigonal
# * density of states at the Fermi level: 16.30 states/eV/cell

***

4.
# Er6GeSe2S3 | the Alexandria database | PBE-GGA | relaxed
data_Er6GeSe2S3
_symmetry_space_group_name_H-M 'C 1 2/m 1'
_symmetry_Int_Tables_number 12
_symmetry_space_group_name_Hall '-C 2y'
_cell_length_a 6.885
_cell_length_b 11.907
_cell_length_c 6.878
_cell_angle_alpha 90.00
_cell_angle_beta 109.44
_cell_angle_gamma 90.00
loop_
_atom_site_label
_atom_site_type_symbol
_atom_site_fract_x
_atom_site_fract_y
_atom_site_fract_z
_atom_site_occupancy
Er1 Er 0.235 0.000 0.237 1
Er2 Er 0.248 0.161 0.763 1
Ge1 Ge 0.000 0.000 0.500 1
Se1 Se 0.000 0.333 0.500 1
S1 S 0.000 0.170 0.000 1
S2 S 0.000 0.500 0.000 1
# * uncorrected formation energy: -1.74 eV/atom
# * crystal system: monoclinic
# * density of states at the Fermi level: 10.31 states/eV/cell

***

5.
# Er8Ge3SeS4 | the Alexandria database | PBE-GGA | relaxed
data_Er8Ge3SeS4
_symmetry_space_group_name_H-M 'R -3 m'
_symmetry_Int_Tables_number 166
_symmetry_space_group_name_Hall '-R 3 2"'
_cell_length_a 8.0146
_cell_length_b 8.0146
_cell_length_c 19.4959
_cell_angle_alpha 90.00
_cell_angle_beta 90.00
_cell_angle_gamma 120.00
loop_
_atom_site_label
_atom_site_type_symbol
_atom_site_fract_x
_atom_site_fract_y
_atom_site_fract_z
_atom_site_occupancy
Er1 Er 0.0000 0.0000 0.2504 1
Er2 Er 0.0073 0.5036 0.2500 1
Ge1 Ge 0.0000 0.5000 0.0000 1
Se1 Se 0.0000 0.0000 0.0000 1
S1 S 0.0000 0.0000 0.5000 1
S2 S 0.0000 0.5000 0.5000 1
# * uncorrected formation energy: -1.57 eV/atom
# * crystal system: trigonal
# * density of states at the Fermi level: 6.36 states/eV/cell

***

6.
# Er8GeSe4S3 | the Alexandria database | PBE-GGA | relaxed
data_Er8GeSe4S3
_symmetry_space_group_name_H-M 'R -3 m'
_symmetry_Int_Tables_number 166
_symmetry_space_group_name_Hall '-R 3 2"'
_cell_length_a 7.9269
_cell_length_b 7.9269
_cell_length_c 19.8333
_cell_angle_alpha 90.00
_cell_angle_beta 90.00
_cell_angle_gamma 120.00
loop_
_atom_site_label
_atom_site_type_symbol
_atom_site_fract_x
_atom_site_fract_y
_atom_site_fract_z
_atom_site_occupancy
Er1 Er 0.0000 0.0000 0.2409 1
Er2 Er 0.0024 0.5012 0.7571 1
Ge1 Ge 0.0000 0.0000 0.5000 1
Se1 Se 0.0000 0.0000 0.0000 1
Se2 Se 0.0000 0.5000 0.0000 1
S1 S 0.0000 0.5000 0.5000 1
# * uncorrected formation energy: -1.74 eV/atom
# * crystal system: trigonal
# * density of states at the Fermi level: 15.10 states/eV/cell

***

7.
# Er6GeSe3S2 | the Alexandria database | PBE-GGA | relaxed
data_Er6GeSe3S2
_symmetry_space_group_name_H-M 'C 1 2/m 1'
_symmetry_Int_Tables_number 12
_symmetry_space_group_name_Hall '-C 2y'
_cell_length_a 6.885
_cell_length_b 11.914
_cell_length_c 7.022
_cell_angle_alpha 90.00
_cell_angle_beta 109.02
_cell_angle_gamma 90.00
loop_
_atom_site_label
_atom_site_type_symbol
_atom_site_fract_x
_atom_site_fract_y
_atom_site_fract_z
_atom_site_occupancy
Er1 Er 0.241 0.000 0.230 1
Er2 Er 0.244 0.332 0.230 1
Ge1 Ge 0.000 0.500 0.000 1
Se1 Se 0.000 0.000 0.500 1
Se2 Se 0.000 0.333 0.500 1
S1 S 0.000 0.167 0.000 1
# * uncorrected formation energy: -1.71 eV/atom
# * crystal system: monoclinic
# * density of states at the Fermi level: 9.45 states/eV/cell

***

8.
# Er6Si2GeS3 | the Alexandria database | PBE-GGA | relaxed
data_Er6Si2GeS3
_symmetry_space_group_name_H-M 'C 1 2/m 1'
_symmetry_Int_Tables_number 12
_symmetry_space_group_name_Hall '-C 2y'
_cell_length_a 17.460
_cell_length_b 3.996
_cell_length_c 8.017
_cell_angle_alpha 90.00
_cell_angle_beta 104.00
_cell_angle_gamma 90.00
loop_
_atom_site_label
_atom_site_type_symbol
_atom_site_fract_x
_atom_site_fract_y
_atom_site_fract_z
_atom_site_occupancy
Er1 Er 0.000 0.000 0.250 1
Er2 Er 0.167 0.500 0.081 1
Er3 Er 0.167 0.500 0.586 1
Si1 Si 0.167 0.000 0.833 1
Ge1 Ge 0.000 0.500 0.500 1
S1 S 0.000 0.500 0.000 1
S2 S 0.167 0.000 0.333 1
# * uncorrected formation energy: -1.38 eV/atom
# * crystal system: monoclinic
# * density of states at the Fermi level: 7.69 states/eV/cell

***

9.
# Er6SiGe2S3 | the Alexandria database | PBE-GGA | relaxed
data_Er6SiGe2S3
_symmetry_space_group_name_H-M 'C 1 2/m 1'
_symmetry_Int_Tables_number 12
_symmetry_space_group_name_Hall '-C 2y'
_cell_length_a 17.474
_cell_length_b 4.005
_cell_length_c 8.022
_cell_angle_alpha 90.00
_cell_angle_beta 103.82
_cell_angle_gamma 90.00
loop_
_atom_site_label
_atom_site_type_symbol
_atom_site_fract_x
_atom_site_fract_y
_atom_site_fract_z
_atom_site_occupancy
Er1 Er 0.000 0.000 0.247 1
Er2 Er 0.166 0.500 0.083 1
Er3 Er 0.166 0.500 0.582 1
Si1 Si 0.000 0.500 0.000 1
Ge1 Ge 0.167 0.000 0.333 1
S1 S 0.000 0.500 0.500 1
S2 S 0.167 0.000 0.833 1
# * uncorrected formation energy: -1.41 eV/atom
# * crystal system: monoclinic
# * density of states at the Fermi level: 7.47 states/eV/cell

***

10.
# SmErGeS | the Alexandria database | PBE-GGA | relaxed
data_SmErGeS
_symmetry_space_group_name_H-M 'R 3 m'
_symmetry_Int_Tables_number 160
_symmetry_space_group_name_Hall 'R 3 -2"'
_cell_length_a 4.0703
_cell_length_b 4.0703
_cell_length_c 20.0516
_cell_angle_alpha 90.00
_cell_angle_beta 90.00
_cell_angle_gamma 120.00
loop_
_atom_site_label
_atom_site_type_symbol
_atom_site_fract_x
_atom_site_fract_y
_atom_site_fract_z
_atom_site_occupancy
Sm1 Sm 0.0000 0.0000 0.0000 1
Er1 Er 0.0000 0.0000 0.5001 1
Ge1 Ge 0.0000 0.0000 0.7525 1
S1 S 0.0000 0.0000 0.2468 1
# * uncorrected formation energy: -1.44 eV/atom
# * crystal system: trigonal
# * density of states at the Fermi level: 4.38 states/eV/cell

***

11.
# Er6GeTe3S2 | the Alexandria database | PBE-GGA | relaxed
data_Er6GeTe3S2
_symmetry_space_group_name_H-M 'C 1 2/m 1'
_symmetry_Int_Tables_number 12
_symmetry_space_group_name_Hall '-C 2y'
_cell_length_a 7.067
_cell_length_b 12.227
_cell_length_c 7.373
_cell_angle_alpha 90.00
_cell_angle_beta 108.56
_cell_angle_gamma 90.00
loop_
_atom_site_label
_atom_site_type_symbol
_atom_site_fract_x
_atom_site_fract_y
_atom_site_fract_z
_atom_site_occupancy
Er1 Er 0.234 0.000 0.209 1
Er2 Er 0.237 0.332 0.210 1
Ge1 Ge 0.000 0.500 0.000 1
Te1 Te 0.000 0.000 0.500 1
Te2 Te 0.000 0.334 0.500 1
S1 S 0.000 0.167 0.000 1
# * uncorrected formation energy: -1.48 eV/atom
# * crystal system: monoclinic
# * density of states at the Fermi level: 9.09 states/eV/cell

***

12.
# Er4GeTeS2 | the Alexandria database | PBE-GGA | relaxed
data_Er4GeTeS2
_symmetry_space_group_name_H-M 'P 1 2/m 1'
_symmetry_Int_Tables_number 10
_symmetry_space_group_name_Hall '-P 2y'
_cell_length_a 6.964
_cell_length_b 4.044
_cell_length_c 7.115
_cell_angle_alpha 90.00
_cell_angle_beta 109.37
_cell_angle_gamma 90.00
loop_
_atom_site_label
_atom_site_type_symbol
_atom_site_fract_x
_atom_site_fract_y
_atom_site_fract_z
_atom_site_occupancy
Er1 Er 0.227 0.000 0.220 1
Er2 Er 0.243 0.500 0.765 1
Ge1 Ge 0.500 0.000 0.000 1
Te1 Te 0.500 0.500 0.500 1
S1 S 0.000 0.000 0.500 1
S2 S 0.000 0.500 0.000 1
# * uncorrected formation energy: -1.53 eV/atom
# * crystal system: monoclinic
# * density of states at the Fermi level: 2.59 states/eV/cell